Compound: CoMo
Source: OQMD
Functional: PBE
Structure: optimized geometry

The formation enthalpy at 0 K comes out at 1.008 eV/atom. Its crystal system is hexagonal.

The structure belongs to space group P6_3/mmc (No. 194); the cell edges are 4.0666, 4.0666 and 4.6821 Å and the angles 90.00°, 90.00° and 120.00°. The distinct sites, in fractional coordinates, are Co at (0.3333, 0.6667, 0.2500) and Mo at (0.3333, 0.6667, 0.7500).

Compound: CoMo3N2
Source: OQMD
Functional: PBE
Structure: optimized geometry

The value obtained for the total energy is -9.337 eV per atom. Its crystal system is hexagonal.

The structure belongs to space group P6_3/mmc (No. 194); the cell edges are 2.7970, 2.7970 and 20.1711 Å and the angles 90.00°, 90.00° and 120.00°. The distinct sites, in fractional coordinates, are Co at (0.0000, 0.0000, 0.2500), Mo at (0.0000, 0.0000, 0.0000), Mo at (0.3333, 0.6667, 0.1448) and N at (0.3333, 0.6667, 0.5741).

no.,total moment (μB per cell)
1,0.002
2,2.368